(1)
# Li4Pr3Pd4 (GGA-PBE, relaxed)
data_Li4Pr3Pd4
_cell_length_a 4.128
_cell_length_b 7.586
_cell_length_c 14.489
_cell_angle_alpha 90.00
_cell_angle_beta 90.00
_cell_angle_gamma 90.00
_space_group_name_H-M_alt 'I m m m'
_space_group_IT_number 71
_space_group_name_Hall '-I 2 2'
loop_
_atom_site_label
_atom_site_type_symbol
_atom_site_fract_x
_atom_site_fract_y
_atom_site_fract_z
Li1 Li 0.000 0.190 0.176
Pr1 Pr 0.000 0.000 0.375
Pr2 Pr 0.000 0.500 0.500
Pd1 Pd 0.000 0.307 0.000
Pd2 Pd 0.000 0.500 0.280
# density: 6.41 g cm⁻³
# raw total energy: -4.4044 eV per atom

=====

(2)
# LiPrPd (GGA-PBE, relaxed)
data_LiPrPd
_cell_length_a 6.770
_cell_length_b 6.770
_cell_length_c 6.770
_cell_angle_alpha 90.00
_cell_angle_beta 90.00
_cell_angle_gamma 90.00
_space_group_name_H-M_alt 'F -4 3 m'
_space_group_IT_number 216
_space_group_name_Hall 'F -4 2 3'
loop_
_atom_site_label
_atom_site_type_symbol
_atom_site_fract_x
_atom_site_fract_y
_atom_site_fract_z
Li1 Li 0.000 0.000 0.000
Pr1 Pr 0.000 0.000 0.500
Pd1 Pd 0.250 0.250 0.250
# density: 5.44 g cm⁻³
# raw total energy: -4.3100 eV per atom

=====

(3)
# LiPrPd6 (GGA-PBE, relaxed)
data_LiPrPd6
_cell_length_a 6.7342
_cell_length_b 6.7342
_cell_length_c 11.5250
_cell_angle_alpha 90.00
_cell_angle_beta 90.00
_cell_angle_gamma 120.00
_space_group_name_H-M_alt 'R -3 m'
_space_group_IT_number 166
_space_group_name_Hall '-R 3 2"'
loop_
_atom_site_label
_atom_site_type_symbol
_atom_site_fract_x
_atom_site_fract_y
_atom_site_fract_z
Li1 Li 0.0000 0.0000 0.0000
Pr1 Pr 0.0000 0.0000 0.5000
Pd1 Pd 0.0696 0.5348 0.3926
# density: 8.65 g cm⁻³
# raw total energy: -4.8991 eV per atom

=====

(4)
# Li8PrPd4 (GGA-PBE, relaxed)
data_Li8PrPd4
_cell_length_a 8.778
_cell_length_b 8.778
_cell_length_c 5.574
_cell_angle_alpha 90.00
_cell_angle_beta 90.00
_cell_angle_gamma 90.00
_space_group_name_H-M_alt 'I 4/m m m'
_space_group_IT_number 139
_space_group_name_Hall '-I 4 2'
loop_
_atom_site_label
_atom_site_type_symbol
_atom_site_fract_x
_atom_site_fract_y
_atom_site_fract_z
Li1 Li 0.000 0.225 0.000
Li2 Li 0.000 0.348 0.500
Pr1 Pr 0.000 0.000 0.500
Pd1 Pd 0.250 0.250 0.250
# density: 4.81 g cm⁻³
# raw total energy: -3.5057 eV per atom

=====

Which formula does entry 3 have?
LiPrPd6

=====

Which of these has the highest raw total energy?
Li8PrPd4

=====

Which value of raw total energy does entry 4 give?
-3.5057 eV per atom

=====

The lowest raw total energy belongs to which entry?
LiPrPd6